No. 1
# YAg3

Crystalline YAg3 at its relaxed geometry (PBEsol, the Alexandria database).

Output
DFT formation energy	1.32	eV/atom
space-group type	Pm-3m

a = 5.6313 Å, b = 5.6313 Å, c = 5.6313 Å
α = 90.00°, β = 90.00°, γ = 90.00°
With the nearest neighbours (Å) after each atom.
Positions (direct):
Y: 0.0000 0.0000 0.0000  6 Ag 2.82
Ag: 0.0000 0.0000 0.5000  2 Y 2.82
Ag: 0.0000 0.5000 0.0000  2 Y 2.82
Ag: 0.5000 0.0000 0.0000  2 Y 2.82

No. 2
# TaH2Se

Crystalline TaH2Se at its relaxed geometry (PBEsol, the Alexandria database).

Output
space-group type	Fm-3m
raw total energy	-80.7	eV for the cell shown

a = 5.4817 Å, b = 5.4817 Å, c = 5.4817 Å
α = 90.00°, β = 90.00°, γ = 90.00°
With the nearest neighbours (Å) after each atom.
Positions (direct):
Ta: 0.0000 0.0000 0.0000  8 H 2.37
Ta: 0.0000 0.5000 0.5000  8 H 2.37
Ta: 0.5000 0.0000 0.5000  8 H 2.37
Ta: 0.5000 0.5000 0.0000  8 H 2.37
H: 0.2500 0.2500 0.2500  4 Ta 2.37, 4 Se 2.37
H: 0.2500 0.2500 0.7500  4 Ta 2.37, 4 Se 2.37
H: 0.2500 0.7500 0.2500  4 Ta 2.37, 4 Se 2.37
H: 0.2500 0.7500 0.7500  4 Ta 2.37, 4 Se 2.37
H: 0.7500 0.2500 0.2500  4 Ta 2.37, 4 Se 2.37
H: 0.7500 0.2500 0.7500  4 Ta 2.37, 4 Se 2.37
H: 0.7500 0.7500 0.2500  4 Ta 2.37, 4 Se 2.37
H: 0.7500 0.7500 0.7500  4 Ta 2.37, 4 Se 2.37
Se: 0.0000 0.0000 0.5000  8 H 2.37
Se: 0.0000 0.5000 0.0000  8 H 2.37
Se: 0.5000 0.0000 0.0000  8 H 2.37
Se: 0.5000 0.5000 0.5000  8 H 2.37

No. 3
# Ti2ZnHg

Crystalline Ti2ZnHg at its relaxed geometry (PBEsol, the Alexandria database).

Output
DFT formation energy	-0.10	eV/atom
space-group type	Fm-3m

a = 6.4282 Å, b = 6.4282 Å, c = 6.4282 Å
α = 90.00°, β = 90.00°, γ = 90.00°
With the nearest neighbours (Å) after each atom.
Positions (direct):
Ti: 0.2500 0.2500 0.2500  4 Hg 2.78, 4 Zn 2.78
Ti: 0.2500 0.2500 0.7500  4 Hg 2.78, 4 Zn 2.78
Ti: 0.2500 0.7500 0.2500  4 Hg 2.78, 4 Zn 2.78
Ti: 0.2500 0.7500 0.7500  4 Hg 2.78, 4 Zn 2.78
Ti: 0.7500 0.2500 0.2500  4 Hg 2.78, 4 Zn 2.78
Ti: 0.7500 0.2500 0.7500  4 Hg 2.78, 4 Zn 2.78
Ti: 0.7500 0.7500 0.2500  4 Hg 2.78, 4 Zn 2.78
Ti: 0.7500 0.7500 0.7500  4 Hg 2.78, 4 Zn 2.78
Zn: 0.0000 0.0000 0.0000  8 Ti 2.78
Zn: 0.0000 0.5000 0.5000  8 Ti 2.78
Zn: 0.5000 0.0000 0.5000  8 Ti 2.78
Zn: 0.5000 0.5000 0.0000  8 Ti 2.78
Hg: 0.0000 0.0000 0.5000  8 Ti 2.78
Hg: 0.0000 0.5000 0.0000  8 Ti 2.78
Hg: 0.5000 0.0000 0.0000  8 Ti 2.78
Hg: 0.5000 0.5000 0.5000  8 Ti 2.78